## TbNd3Ag3 (PBE)

Data for a relaxed TbNd3Ag3 crystal.

```
TbNd3Ag3
1.0
0.464 2.036 7.165
3.489 -6.515 1.042
6.256 3.233 -1.423
Tb Nd Ag
2 6 6
direct
0.747 0.747 0.864
0.253 0.253 0.136
0.640 0.640 0.371
0.178 0.822 0.500
0.822 0.178 0.500
0.270 0.730 0.000
0.730 0.270 0.000
0.360 0.360 0.629
0.932 0.932 0.178
0.993 0.488 0.729
0.488 0.993 0.729
0.007 0.512 0.271
0.512 0.007 0.271
0.068 0.068 0.822
```

Summary:
- Energy: -4.044 eV/atom
- Formation energy from the elements: -0.82 eV/f.u.
- Symmetry: No. 12

***

## Al2GeOs (PBE)

Data for a relaxed Al2GeOs crystal.

```
Al2GeOs
1.0
9.382 0.000 0.000
0.000 9.382 0.000
4.691 4.691 2.351
Ge Os Al
2 2 4
direct
0.500 0.500 0.000
0.250 0.750 0.500
0.000 0.000 0.000
0.750 0.250 0.500
0.875 0.125 0.250
0.875 0.625 0.250
0.375 0.125 0.750
0.875 0.125 0.750
```

Summary:
- Energy: -5.792 eV/atom
- Formation energy from the elements: 0.16 eV/f.u.
- Symmetry: No. 141